Record 1
## Th6TiSn10 (PBE)

Data for Th6TiSn10 after structural relaxation.

Computed properties:
Energy ... -5.912 eV/atom
DOS(E_F) ... 11.785 states/eV/f.u.
Theoretical density ... 9.2 Mg/m³
Space group ... P-31m, No. 162
Formation energy from the elements ... -0.47 eV/atom

```
Th6TiSn10
1.0
6.203 0.000 0.000
0.000 8.156 -4.709
0.000 0.000 9.417
Sn Ti Th
10 1 6
direct
0.000 0.667 0.333
0.225 0.000 0.762
0.500 0.667 0.333
0.775 0.238 0.000
0.775 0.762 0.762
0.000 0.333 0.667
0.225 0.762 0.000
0.775 0.000 0.238
0.225 0.238 0.238
0.500 0.333 0.667
0.500 0.000 0.000
0.747 0.611 0.000
0.747 0.000 0.611
0.253 0.000 0.389
0.747 0.389 0.389
0.253 0.611 0.611
0.253 0.389 0.000
```

Record 2
## Sr2CoN2 (PBE)

Data for Sr2CoN2 after structural relaxation.

Computed properties:
Energy ... -5.923 eV/atom
DOS(E_F) ... 4.708 states/eV/f.u.
Theoretical density ... 4.7 Mg/m³
Space group ... I4/mmm, No. 139

```
Sr2CoN2
1.0
3.846 0.000 0.000
0.000 3.846 0.000
-1.924 -1.924 6.219
Co Sr N
1 2 2
direct
0.000 0.000 0.000
0.354 0.354 0.709
0.646 0.646 0.291
0.860 0.860 0.720
0.140 0.140 0.280
```

| no. | V (Å³ per cell) |
| --- | --- |
| 1 | 476 |
| 2 | 92 |